No. 1
This record from Alexandria via LeMat-Bulk describes a geometry-optimized Zr5GeSb3 structure. The functional is PBEsol.

Lattice parameters (Å, degrees): 8.5811 8.5811 5.8018 90.00 90.00 120.00
Space group P6_3/mcm (No. 193)
Asymmetric unit:
Zr  0.0000  0.2648  0.2500 x6
Zr  0.3333  0.6667  0.0000 x4
Ge  0.0000  0.0000  0.0000 x2
Sb  0.0000  0.3935  0.7500 x6

Summary:
Theoretical density (g/cm3): 8.0
Magnetic moment (μB/cell): 0.00
Formation energy without anion corrections (eV/atom): -0.886
Calculated total energy (eV per cell): -144.1


No. 2
This record from Alexandria via LeMat-Bulk describes a geometry-optimized AlAgOs2 structure. The functional is PBEsol.

Lattice parameters (Å, degrees): 5.295 9.152 2.731 90.00 117.33 90.00
Space group C2/m (No. 12)
Asymmetric unit:
Al  0.000  0.000  0.000 x2
Ag  0.000  0.500  0.000 x2
Os  0.250  0.250  0.500 x4

Summary:
Theoretical density (g/cm3): 14.6
Magnetic moment (μB/cell): 0.00
Formation enthalpy at 0 K (kJ/mol of atoms): 37.8
Calculated total energy (eV per cell): -60.5


No. 3
This record from Alexandria via LeMat-Bulk describes a geometry-optimized LiScSb2 structure. The functional is PBEsol.

Lattice parameters (Å, degrees): 10.700 3.927 4.373 90.00 107.56 90.00
Space group Cm (No. 8)
Asymmetric unit:
Li  0.000  0.000  0.000 x2
Sc  0.264  0.500  0.376 x2
Sb  0.249  0.000  0.873 x2
Sb  0.494  0.000  0.466 x2

Summary:
E above lowest polymorph (meV per atom): 0
Theoretical density (g/cm3): 5.6
Magnetic moment (μB/cell): 0.00
Formation energy without anion corrections (eV/atom): -0.630
Calculated total energy (eV per cell): -40.4


No. 4
This record from Alexandria via LeMat-Bulk describes a geometry-optimized ZrTcSb2 structure. The functional is PBEsol.

Lattice parameters (Å, degrees): 3.535 3.535 6.391 90.00 90.00 90.00
Space group P4mm (No. 99)
Asymmetric unit:
Zr  0.000  0.000  0.000 x1
Tc  0.500  0.500  0.725 x1
Sb  0.000  0.000  0.528 x1
Sb  0.500  0.500  0.207 x1

Summary:
E above lowest polymorph (meV per atom): 4
Theoretical density (g/cm3): 9.0
Magnetic moment (μB/cell): 0.00
Formation energy without anion corrections (eV/atom): -0.207
Calculated total energy (eV per cell): -30.3


No. 5
This record from Alexandria via LeMat-Bulk describes a geometry-optimized MgFe2MoI structure. The functional is PBEsol.

Lattice parameters (Å, degrees): 4.552 4.552 4.910 90.00 90.00 90.00
Space group P4/mmm (No. 123)
Asymmetric unit:
Mg  0.000  0.000  0.000 x1
Fe  0.000  0.500  0.500 x2
Mo  0.500  0.500  0.000 x1
I  0.500  0.500  0.500 x1

Summary:
Theoretical density (g/cm3): 5.9
Magnetic moment (μB/cell): 3.82
Formation energy without anion corrections (eV/atom): 1.511
Calculated total energy (eV per cell): -25.6


No. 6
This record from Alexandria via LeMat-Bulk describes a geometry-optimized CrInSnSe2 structure. The functional is PBEsol.

Lattice parameters (Å, degrees): 4.760 4.760 5.180 90.00 90.00 90.00
Space group P4/mmm (No. 123)
Asymmetric unit:
Cr  0.000  0.000  0.000 x1
In  0.000  0.000  0.500 x1
Sn  0.500  0.500  0.500 x1
Se  0.000  0.500  0.000 x2

Summary:
Theoretical density (g/cm3): 6.3
Magnetic moment (μB/cell): 2.63
Formation energy without anion corrections (eV/atom): 0.179
Calculated total energy (eV per cell): -24.3


No. 7
This record from Alexandria via LeMat-Bulk describes a geometry-optimized CsNa2Zr structure. The functional is PBEsol.

Lattice parameters (Å, degrees): 9.379 9.379 7.030 90.00 90.00 90.00
Space group I-42d (No. 122)
Asymmetric unit:
Cs  0.000  0.000  0.000 x4
Na  0.233  0.750  0.625 x8
Zr  0.000  0.000  0.500 x4

Summary:
Theoretical density (g/cm3): 2.9
Magnetic moment (μB/cell): 12.12
Formation enthalpy at 0 K (kJ/mol of atoms): 101.8
Calculated total energy (eV per cell): -34.4


No. 8
This record from Alexandria via LeMat-Bulk describes a geometry-optimized BaZrH2N structure. The functional is PBEsol.

Lattice parameters (Å, degrees): 3.792 3.792 7.517 90.00 90.00 90.00
Space group P4/mmm (No. 123)
Asymmetric unit:
Ba  0.000  0.000  0.000 x1
Zr  0.000  0.000  0.500 x1
H  0.000  0.500  0.500 x2
N  0.500  0.500  0.000 x1

Summary:
Theoretical density (g/cm3): 3.8
Magnetic moment (μB/cell): 2.70
Calculated total energy (eV per cell): -23.4


Which of these has the highest calculated total energy?
BaZrH2N


Which value of theoretical density does entry 4 give?
9.0 g/cm3


Copy entry 7 word for word.
This record from Alexandria via LeMat-Bulk describes a geometry-optimized CsNa2Zr structure. The functional is PBEsol.

Lattice parameters (Å, degrees): 9.379 9.379 7.030 90.00 90.00 90.00
Space group I-42d (No. 122)
Asymmetric unit:
Cs  0.000  0.000  0.000 x4
Na  0.233  0.750  0.625 x8
Zr  0.000  0.000  0.500 x4

Summary:
Theoretical density (g/cm3): 2.9
Magnetic moment (μB/cell): 12.12
Formation enthalpy at 0 K (kJ/mol of atoms): 101.8
Calculated total energy (eV per cell): -34.4